[1]
# NiSbMo2

A geometry-optimized NiSbMo2 structure (PBE, Alexandria via LeMat-Bulk).

For the uncorrected formation energy, the calculation gives 0.1879 eV per atom. Its symmetry is I4/mmm, No. 139.

a = 5.077 Å, b = 5.077 Å, c = 5.077 Å
α = 135.62°, β = 135.62°, γ = 64.57°
Fractional coordinates of all 4 atoms:
Ni 0.250 0.750 0.500
Sb 0.750 0.250 0.500
Mo 0.500 0.500 0.000
Mo 0.000 0.000 0.000

[2]
# NiSb2Mo

A geometry-optimized NiSb2Mo structure (PBE, Alexandria via LeMat-Bulk).

For the uncorrected formation energy, the calculation gives 0.1189 eV per atom. Its symmetry is P4mm, No. 99. Its distance to the lowest polymorph of the same formula is 0.44 eV per formula unit.

a = 3.643 Å, b = 3.643 Å, c = 5.532 Å
α = 90.00°, β = 90.00°, γ = 90.00°
Fractional coordinates of all 4 atoms:
Ni 0.500 0.500 0.803
Sb 0.500 0.500 0.291
Sb 0.000 0.000 0.941
Mo 0.000 0.000 0.465

[3]
# NiSbMo2

A geometry-optimized NiSbMo2 structure (PBE, Alexandria via LeMat-Bulk).

For the uncorrected formation energy, the calculation gives 0.2103 eV per atom. Its symmetry is Pm, No. 6.

a = 4.224 Å, b = 2.938 Å, c = 5.301 Å
α = 78.54°, β = 90.00°, γ = 90.00°
Fractional coordinates of all 4 atoms:
Mo 0.500 0.241 0.265
Mo 0.000 0.014 0.008
Sb 0.500 0.591 0.741
Ni 0.000 0.654 0.486

[4]
# Ni2SbMo

A geometry-optimized Ni2SbMo structure (PBE, Alexandria via LeMat-Bulk).

For the uncorrected formation energy, the calculation gives 0.1381 eV per atom. Its symmetry is Cm, No. 8.

a = 4.452 Å, b = 4.452 Å, c = 4.806 Å
α = 78.09°, β = 78.09°, γ = 39.88°
Fractional coordinates of all 4 atoms:
Ni 0.746 0.746 0.768
Ni 0.002 0.002 0.996
Sb 0.494 0.494 0.535
Mo 0.258 0.258 0.200

[5]
# NiSb2Mo

A geometry-optimized NiSb2Mo structure (PBE, Alexandria via LeMat-Bulk).

For the uncorrected formation energy, the calculation gives 0.6322 eV per atom. Its symmetry is I-42d, No. 122. Its distance to the lowest polymorph of the same formula is 2.49 eV per formula unit.

a = 6.145 Å, b = 6.145 Å, c = 6.975 Å
α = 63.86°, β = 63.86°, γ = 90.00°
Fractional coordinates of all 8 atoms:
Mo 0.750 0.250 0.500
Mo 0.000 0.000 0.000
Sb 0.148 0.625 0.250
Sb 0.875 0.852 0.750
Sb 0.602 0.125 0.250
Sb 0.375 0.398 0.750
Ni 0.250 0.750 0.500
Ni 0.500 0.500 0.000

[6]
# Ni4SbMo

A geometry-optimized Ni4SbMo structure (PBE, Alexandria via LeMat-Bulk).

For the uncorrected formation energy, the calculation gives 0.1036 eV per atom. Its symmetry is F-43m, No. 216.

a = 4.806 Å, b = 4.806 Å, c = 4.806 Å
α = 60.00°, β = 60.00°, γ = 60.00°
Fractional coordinates of all 6 atoms:
Mo 0.000 0.000 0.000
Ni 0.374 0.374 0.878
Ni 0.878 0.374 0.374
Ni 0.374 0.878 0.374
Ni 0.374 0.374 0.374
Sb 0.750 0.750 0.750

[7]
# NiSb2Mo

A geometry-optimized NiSb2Mo structure (PBE, Alexandria via LeMat-Bulk).

For the uncorrected formation energy, the calculation gives 0.6999 eV per atom. Its symmetry is F-43m, No. 216. Its distance to the lowest polymorph of the same formula is 2.76 eV per formula unit.

a = 4.754 Å, b = 4.754 Å, c = 4.754 Å
α = 60.00°, β = 60.00°, γ = 60.00°
Fractional coordinates of all 4 atoms:
Sb 0.000 0.000 0.000
Sb 0.250 0.250 0.250
Ni 0.750 0.750 0.750
Mo 0.500 0.500 0.500

[8]
# Ni2SbMo

A geometry-optimized Ni2SbMo structure (PBE, Alexandria via LeMat-Bulk).

For the uncorrected formation energy, the calculation gives 0.4148 eV per atom. Its symmetry is R3m, No. 160.

a = 8.009 Å, b = 8.009 Å, c = 8.009 Å
α = 21.82°, β = 21.82°, γ = 21.82°
Fractional coordinates of all 4 atoms:
Mo 0.741 0.741 0.741
Sb 0.507 0.507 0.507
Ni 0.998 0.998 0.998
Ni 0.254 0.254 0.254

Taking the records one at a time from the top gives calculated volume values of 63.1, 73.4, 64.5, 59.6, 206.0, 78.5, 76.0, 62.2 Å³/cell.